## UNiO4 (PBE with a Hubbard U)

Data for UNiO4 after structural relaxation.

Geometry as POSCAR:
```
UNiO4
1.0
5.7308 0.0000 0.0000
0.0000 5.0145 0.0000
-2.6426 0.0000 5.4817
U Ni O
2 2 8
Cartesian
0.0000 0.0000 0.0000 U
-1.3213 2.5073 2.7409 U
1.5441 0.0000 2.7409 Ni
2.8654 2.5073 0.0000 Ni
-0.0256 0.9546 1.9237 O
-1.3469 1.5527 4.6646 O
0.2177 3.4594 3.5026 O
1.5390 4.0624 0.7617 O
1.5492 0.9521 4.7200 O
2.8705 1.5551 1.9791 O
4.4351 3.4618 0.8172 O
3.1138 4.0600 3.5580 O
```

## Properties
Electronic total energy   -8.029 eV per atom
Magnetization   3.992 Bohr magnetons per cell
Volume   13.1 Å³/atom
Space group   P2_1/c (14)
DOS(E_F)   0.00 states/eV per cell
Crystal system   monoclinic
Density   7.605 Mg/m³